# 1
# CaDy4YS8

Crystalline CaDy4YS8 at its relaxed geometry (PBE-GGA, Alexandria via LeMat-Bulk). Values from VASP.

Structure (Quantum ESPRESSO input):
```
&SYSTEM
  ibrav = 0, nat = 14, ntyp = 4
/
ATOMIC_SPECIES
Ca 40.08 Ca.upf
Dy 162.50 Dy.upf
Y 88.91 Y.upf
S 32.06 S.upf
CELL_PARAMETERS angstrom
4.044 2.335 6.606
-4.044 2.335 6.606
0.000 -4.670 6.606
ATOMIC_POSITIONS angstrom
Ca 0.000 0.000 0.000
Dy -2.054 -1.186 9.071
Dy 0.000 0.000 4.958
Dy 2.054 -1.186 9.071
Dy 0.000 2.372 9.071
Y 0.000 0.000 12.426
S 0.000 0.000 7.591
S 0.000 -2.190 10.681
S -1.897 1.095 10.681
S -1.857 -1.072 14.112
S 1.897 1.095 10.681
S 1.857 -1.072 14.112
S 0.000 2.144 14.112
S 0.000 0.000 17.136
```

Calculated values
raw total energy = -6.283 eV/atom
raw formation energy = -2.00 eV per atom

***

# 2
# Ca2DyYS4

Crystalline Ca2DyYS4 at its relaxed geometry (PBE-GGA, Alexandria via LeMat-Bulk). Values from VASP.

Structure (Quantum ESPRESSO input):
```
&SYSTEM
  ibrav = 0, nat = 8, ntyp = 4
/
ATOMIC_SPECIES
Ca 40.08 Ca.upf
Dy 162.50 Dy.upf
Y 88.91 Y.upf
S 32.06 S.upf
CELL_PARAMETERS angstrom
6.820 0.000 0.000
0.000 3.942 0.000
-2.278 0.000 6.551
ATOMIC_POSITIONS angstrom
Ca 0.000 0.000 0.000
Ca 3.410 1.971 0.000
Dy -1.139 1.971 3.276
Y 2.271 0.000 3.276
S -0.006 0.000 4.880
S 1.130 1.971 1.668
S 3.412 1.971 4.883
S 4.548 0.000 1.671
```

Calculated values
raw total energy = -6.005 eV/atom
raw formation energy = -2.06 eV per atom

***

# 3
# Ca3Dy3YS8

Crystalline Ca3Dy3YS8 at its relaxed geometry (PBE-GGA, Alexandria via LeMat-Bulk). Values from VASP.

Structure (Quantum ESPRESSO input):
```
&SYSTEM
  ibrav = 0, nat = 15, ntyp = 4
/
ATOMIC_SPECIES
Ca 40.08 Ca.upf
Dy 162.50 Dy.upf
Y 88.91 Y.upf
S 32.06 S.upf
CELL_PARAMETERS angstrom
3.939 2.274 6.548
-3.939 2.274 6.548
0.000 -4.548 6.548
ATOMIC_POSITIONS angstrom
Ca -1.969 -1.137 6.548
Ca -1.969 1.137 13.097
Ca 0.000 2.274 6.548
Dy -3.939 0.000 9.823
Dy -1.969 1.137 3.274
Dy 1.969 1.137 3.274
Y 0.000 0.000 9.823
S 0.000 0.000 4.871
S -1.961 -1.132 11.387
S 0.000 -2.265 8.259
S -1.961 1.132 8.259
S 1.961 -1.132 11.387
S 0.000 2.265 11.387
S 1.961 1.132 8.259
S 0.000 0.000 14.774
```

Calculated values
raw total energy = -6.045 eV/atom
raw formation energy = -2.09 eV per atom

***

# 4
# CaDy2YS4

Crystalline CaDy2YS4 at its relaxed geometry (PBE-GGA, Alexandria via LeMat-Bulk). Values from VASP.

Structure (Quantum ESPRESSO input):
```
&SYSTEM
  ibrav = 0, nat = 8, ntyp = 4
/
ATOMIC_SPECIES
Ca 40.08 Ca.upf
Dy 162.50 Dy.upf
Y 88.91 Y.upf
S 32.06 S.upf
CELL_PARAMETERS angstrom
6.814 0.000 0.000
0.000 3.917 0.000
-2.238 0.000 6.438
ATOMIC_POSITIONS angstrom
Ca 0.000 0.000 0.000
Dy 2.288 0.000 3.219
Dy 3.407 1.958 0.000
Y -1.119 1.958 3.219
S 0.032 0.000 4.831
S 1.159 1.958 1.622
S 3.417 1.958 4.816
S 4.544 0.000 1.607
```

Calculated values
raw total energy = -6.294 eV/atom
raw formation energy = -2.02 eV per atom